[1]
A plane-wave DFT calculation with PBE was carried out for a relaxed structure of Mn2ReSe.

Geometry as POSCAR:
```
Mn2ReSe
1.0
3.158 0.000 0.000
0.000 3.152 -0.005
0.000 3.164 5.845
Se Mn Re
1 2 1
Cartesian
1.579 4.737 4.380
0.000 3.153 -0.002
0.000 3.157 2.918
1.579 1.579 1.460
```

Results
Uncorrected energy: -33.3 eV per cell
Density: 10.70 g/cm³


[2]
A plane-wave DFT calculation with PBE was carried out for a relaxed structure of Mn2ReSe.

Geometry as POSCAR:
```
Mn2ReSe
1.0
4.466 0.023 -0.103
3.483 2.795 -0.103
0.503 0.178 4.543
Mn Re Se
2 1 1
Cartesian
6.321 2.241 3.250
0.063 0.022 0.078
4.093 1.451 2.389
2.200 0.780 0.786
```

Results
Uncorrected energy: -33.0 eV per cell
Density: 11.02 g/cm³


[3]
A plane-wave DFT calculation with PBE was carried out for a relaxed structure of MnReSe3.

Geometry as POSCAR:
```
MnReSe3
1.0
4.756 0.000 0.000
0.000 4.756 0.000
0.000 0.000 4.756
Se Mn Re
3 1 1
Cartesian
2.378 0.000 0.000
0.000 2.378 0.000
0.000 0.000 2.378
0.000 0.000 0.000
2.378 2.378 2.378
```

Results
Uncorrected energy: -26.8 eV per cell
Density: 7.38 g/cm³


[4]
A plane-wave DFT calculation with PBE was carried out for a relaxed structure of Mn2ReSe.

Geometry as POSCAR:
```
Mn2ReSe
1.0
-1.247 -0.627 -2.690
-1.163 -3.885 1.444
-3.666 1.591 1.328
Mn Se Re
2 1 1
Cartesian
-1.205 -2.256 -0.623
0.000 0.000 0.000
-2.414 -1.147 1.386
-2.456 0.482 -0.681
```

Results
Uncorrected energy: -32.8 eV per cell
Density: 11.34 g/cm³


[5]
A plane-wave DFT calculation with PBE was carried out for a relaxed structure of Mn2ReSe.

Geometry as POSCAR:
```
Mn2ReSe
1.0
-3.569 3.398 1.157
-0.899 0.839 4.910
3.495 0.108 -3.660
Mn Re Se
2 1 1
Cartesian
-4.390 4.163 5.962
0.208 1.507 2.105
-2.324 2.204 3.156
-1.168 2.826 0.285
```

Results
Uncorrected energy: -33.0 eV per cell
Density: 11.03 g/cm³


[6]
A plane-wave DFT calculation with PBE was carried out for a relaxed structure of Mn2ReSe.

Geometry as POSCAR:
```
Mn2ReSe
1.0
4.913 -0.001 0.001
2.140 4.423 -0.001
-3.046 -2.977 2.449
Se Mn Re
1 2 1
Cartesian
2.697 -0.384 1.225
3.637 2.280 0.000
6.943 4.352 0.000
1.311 1.828 1.224
```

Results
Uncorrected energy: -32.8 eV per cell
Density: 11.71 g/cm³